No. 1
# Tb12TmTh7

A relaxed structure of Tb12TmTh7 (PBE, the Alexandria database).

## Properties
Theoretical density = 8.0 g/cm³
Total magnetization = 0.000 μB/atom
Formation energy = 0.95 eV/atom

Cell lengths 10.0034, 10.0034, 10.0034 Å; angles 109.47, 109.47, 109.47 degrees
Atoms (fractional coordinates):
Tb 0.2521 0.2533 0.5054
Tb 0.5054 0.2521 0.2533
Tb 0.7479 0.7467 0.4946
Th 0.5000 0.5000 0.5000
Tb 0.9989 0.2521 0.7467
Th 0.5000 0.0000 0.0000
Tb 0.4946 0.7479 0.7467
Th 0.5000 0.5000 0.0000
Tb 0.7467 0.4946 0.7479
Tb 0.0011 0.7479 0.2533
Tb 0.2533 0.0011 0.7479
Tb 0.7479 0.2533 0.0011
Tb 0.7467 0.9989 0.2521
Tm 0.0000 0.0000 0.0000
Th 0.5000 0.0000 0.5000
Th 0.0000 0.5000 0.5000
Tb 0.2533 0.5054 0.2521
Th 0.0000 0.5000 0.0000
Tb 0.2521 0.7467 0.9989
Th 0.0000 0.0000 0.5000

=====

No. 2
# Ba3Mn5Se12

A relaxed structure of Ba3Mn5Se12 (PBE, the Alexandria database).

## Properties
Theoretical density = 5.0 g/cm³
Formation energy from raw total energies = -789 meV/atom
Total magnetization = 0.850 μB/atom

Cell lengths 14.1634, 14.1634, 14.1634 Å; angles 109.47, 109.47, 109.47 degrees
Last column: magnetic moment on the atom in μB.
Atoms (fractional coordinates):
Ba 0.7500 0.3750 0.1250  0.02
Ba 0.2500 0.6250 0.8750  0.02
Se 0.8075 0.4892 0.3951  -0.10
Se 0.4892 0.8075 0.8951  -0.10
Se 0.1049 0.6925 0.5108  -0.10
Se 0.4059 0.0108 0.3183  -0.10
Se 0.1925 0.6817 0.0876  -0.10
Ba 0.2500 0.1250 0.3750  0.02
Se 0.3075 0.8951 0.9892  -0.10
Se 0.3951 0.9892 0.8075  -0.10
Mn 0.5000 0.5000 0.0000  3.53
Se 0.9059 0.8183 0.5108  -0.10
Mn 0.5000 0.0000 0.5000  3.53
Se 0.4059 0.3951 0.5876  -0.10
Se 0.0876 0.1817 0.1925  -0.10
Mn 0.2500 0.8750 0.1250  3.37
Se 0.8183 0.9124 0.3075  -0.10
Mn 0.8750 0.2500 0.6250  3.37
Mn 0.3750 0.2500 0.1250  3.37
Se 0.5876 0.6925 0.6817  -0.10
Se 0.1817 0.0876 0.6925  -0.10
Se 0.8951 0.5876 0.9059  -0.10
Se 0.4124 0.1049 0.5941  -0.10
Mn 0.5000 0.5000 0.5000  3.53
Se 0.1049 0.4124 0.0941  -0.10
Se 0.5941 0.6049 0.4124  -0.10
Ba 0.6250 0.3750 0.7500  0.02
Se 0.1817 0.0941 0.9892  -0.10
Ba 0.7500 0.8750 0.6250  0.02
Se 0.5876 0.8951 0.4059  -0.10
Ba 0.1250 0.2500 0.8750  0.02
Se 0.8075 0.3183 0.9124  -0.10
Se 0.0108 0.6049 0.6925  -0.10
Se 0.5108 0.1925 0.1049  -0.10
Mn 0.6250 0.8750 0.2500  3.37
Mn 0.8750 0.6250 0.7500  3.37
Se 0.9059 0.0876 0.8951  -0.10
Se 0.6049 0.0108 0.1925  -0.10
Ba 0.8750 0.7500 0.1250  0.02
Se 0.3951 0.4059 0.0876  -0.10
Se 0.6817 0.4892 0.5941  -0.10
Se 0.8183 0.9059 0.0108  -0.10
Mn 0.6250 0.7500 0.8750  3.37
Se 0.5941 0.9892 0.6817  -0.10
Se 0.1925 0.5108 0.6049  -0.10
Ba 0.3750 0.6250 0.2500  0.02
Mn 0.2500 0.3750 0.6250  3.37
Se 0.9892 0.5941 0.1817  -0.10
Se 0.3183 0.8075 0.4124  -0.10
Se 0.5108 0.3183 0.9059  -0.10
Ba 0.6250 0.2500 0.3750  0.02
Se 0.3183 0.5108 0.4059  -0.10
Ba 0.8750 0.1250 0.2500  0.02
Mn 0.7500 0.6250 0.3750  3.37
Se 0.0941 0.1817 0.4892  -0.10
Ba 0.1250 0.8750 0.7500  0.02
Se 0.6817 0.1925 0.5876  -0.10
Mn 0.3750 0.1250 0.7500  3.37
Se 0.4124 0.3075 0.3183  -0.10
Se 0.4892 0.6817 0.0941  -0.10
Se 0.0941 0.9124 0.1049  -0.10
Mn 0.7500 0.1250 0.8750  3.37
Mn 0.1250 0.7500 0.3750  3.37
Mn 0.5000 0.0000 0.0000  3.53
Ba 0.3750 0.7500 0.6250  0.02
Se 0.0876 0.9059 0.3951  -0.10
Mn 0.0000 0.0000 0.5000  3.53
Se 0.6925 0.1049 0.0108  -0.10
Se 0.9124 0.0941 0.6049  -0.10
Se 0.8951 0.3075 0.4892  -0.10
Mn 0.0000 0.5000 0.5000  3.53
Mn 0.0000 0.0000 0.0000  3.53
Mn 0.1250 0.3750 0.2500  3.37
Se 0.6925 0.5876 0.1817  -0.10
Se 0.3075 0.4124 0.8183  -0.10
Se 0.0108 0.4059 0.8183  -0.10
Mn 0.0000 0.5000 0.0000  3.53
Se 0.9892 0.3951 0.3075  -0.10
Se 0.9124 0.8183 0.8075  -0.10
Se 0.6049 0.5941 0.9124  -0.10

=====

No. 3
# Pm12SmGa6

A relaxed structure of Pm12SmGa6 (PBE, the Alexandria database).

## Properties
Theoretical density = 6.8 g/cm³
Total magnetization = 0.000 μB/atom
Formation energy = -0.28 eV/atom

Cell lengths 9.0014, 9.0014, 9.0014 Å; angles 109.47, 109.47, 109.47 degrees
Atoms (fractional coordinates):
Pm 0.2904 0.4846 0.1943
Pm 0.1943 0.7096 0.9039
Ga 0.3804 0.5000 0.8804
Pm 0.8057 0.2904 0.0961
Pm 0.7096 0.5154 0.8057
Ga 0.6196 0.5000 0.1196
Ga 0.1196 0.6196 0.5000
Pm 0.4846 0.1943 0.2904
Pm 0.7096 0.9039 0.1943
Pm 0.0961 0.8057 0.2904
Pm 0.8057 0.7096 0.5154
Sm 0.0000 0.0000 0.0000
Ga 0.5000 0.8804 0.3804
Pm 0.2904 0.0961 0.8057
Ga 0.5000 0.1196 0.6196
Pm 0.9039 0.1943 0.7096
Pm 0.5154 0.8057 0.7096
Pm 0.1943 0.2904 0.4846
Ga 0.8804 0.3804 0.5000

=====

No. 4
# LiP2RuS

A relaxed structure of LiP2RuS (PBE, the Alexandria database).

## Properties
Relative energy among the computed polymorphs = 0 meV/atom
Theoretical density = 3.1 g/cm³
Formation energy from raw total energies = 213 meV/atom
Total magnetization = 0.000 μB/atom

Cell lengths 4.4131, 4.4131, 5.4721 Å; angles 90.00, 90.00, 90.00 degrees
Atoms (fractional coordinates):
Li 0.5000 0.5000 0.5000
S 0.0000 0.0000 0.5000
P 0.5000 0.0000 0.0000
P 0.0000 0.5000 0.0000
Ru 0.0000 0.0000 0.0000

=====

No. 5
# Tb6Te5Ir

A relaxed structure of Tb6Te5Ir (PBE, the Alexandria database).

## Properties
Theoretical density = 8.3 g/cm³
Formation energy from raw total energies = -1305 meV/atom
Total magnetization = 0.000 μB/atom

Cell lengths 7.5706, 8.7563, 7.6031 Å; angles 106.91, 99.68, 124.93 degrees
Atoms (fractional coordinates):
Tb 0.1500 0.9278 0.2954
Ir 0.0000 0.0000 0.0000
Te 0.3361 0.3361 0.6721
Te 0.6639 0.6639 0.3279
Tb 0.8546 0.6324 0.7046
Tb 0.5521 0.7841 0.0000
Tb 0.8500 0.0722 0.7046
Te 0.3197 0.8197 0.6393
Tb 0.4479 0.2159 0.0000
Te 0.6803 0.1803 0.3607
Te 0.0000 0.5000 0.0000
Tb 0.1454 0.3676 0.2954

=====

No. 6
# CeHoGeRh

A relaxed structure of CeHoGeRh (PBE, the Alexandria database).

## Properties
Theoretical density = 9.1 g/cm³
Total magnetization = 0.082 μB/atom
Formation energy = -0.65 eV/atom

Cell lengths 4.9949, 4.9949, 4.9949 Å; angles 60.00, 60.00, 60.00 degrees
Last column: magnetic moment on the atom in μB.
Atoms (fractional coordinates):
Ho 0.0000 0.0000 0.0000  0.00
Ge 0.2500 0.2500 0.2500  -0.02
Rh 0.7500 0.7500 0.7500  -0.08
Ce 0.5000 0.5000 0.5000  0.40